1.
DFT (PBE) results for a relaxed Nb2AlSi crystal.

Results
- E_form (uncorrected): -0.3 eV per formula unit
- Energy relative to the lowest polymorph listed for this composition: 0 meV per atom

a b c (Å): 3.5927 3.5927 6.6965
angles (deg): 74.44 74.44 60.00
Sites, in units of the cell vectors:
Nb: 0.2586 0.2586 0.2241
Nb: 0.7414 0.7414 0.7759
Si: 0.0000 0.0000 0.0000
Al: 0.5000 0.5000 0.5000


2.
DFT (PBE) results for a relaxed CoCu3 crystal.

Results
- Energy relative to the elements: 8 kJ per mole of atoms

a b c (Å): 2.5243 2.5243 8.4719
angles (deg): 90.00 90.00 120.00
Sites, in units of the cell vectors:
Co: 0.0000 0.0000 0.0000
Cu: 0.0000 0.0000 0.5000
Cu: 0.3333 0.6667 0.2478
Cu: 0.3333 0.6667 0.7522


3.
DFT (PBE) results for a relaxed PrCd11 crystal.

Results
- Energy relative to the lowest polymorph listed for this composition: 45 meV per atom
- Energy relative to the elements: -11 kJ per mole of atoms

a b c (Å): 7.7884 9.3115 9.3115
angles (deg): 79.93 65.28 65.28
Sites, in units of the cell vectors:
Pr: 0.5000 0.0000 0.0000
Pr: 0.2500 0.5000 0.5000
Cd: 0.4248 0.8226 0.4181
Cd: 0.6655 0.1774 0.5819
Cd: 0.0000 0.0000 0.0000
Cd: 0.7500 0.5000 0.5000
Cd: 0.3750 0.7500 0.7500
Cd: 0.8750 0.7500 0.2500
Cd: 0.8750 0.2500 0.7500
Cd: 0.8750 0.2500 0.2500
Cd: 0.4248 0.4181 0.8226
Cd: 0.9974 0.6774 0.9181
Cd: 0.5929 0.3226 0.0819
Cd: 0.6655 0.5819 0.1774
Cd: 0.7526 0.5819 0.8226
Cd: 0.1571 0.4181 0.1774
Cd: 0.0845 0.3226 0.9181
Cd: 0.3252 0.6774 0.0819
Cd: 0.3252 0.0819 0.6774
Cd: 0.7526 0.8226 0.5819
Cd: 0.1571 0.1774 0.4181
Cd: 0.0845 0.9181 0.3226
Cd: 0.9974 0.9181 0.6774
Cd: 0.5929 0.0819 0.3226


4.
DFT (PBE) results for a relaxed VFeSi crystal.

Results
- E_form (uncorrected): -1.3 eV per formula unit

a b c (Å): 4.8219 3.8981 8.6260
angles (deg): 90.00 120.71 90.00
Sites, in units of the cell vectors:
Si: 0.8829 0.0000 0.3256
Si: 0.1171 0.0000 0.6744
Si: 0.8829 0.5000 0.8256
Si: 0.1171 0.5000 0.1744
Fe: 0.6141 0.0000 0.6724
Fe: 0.3859 0.0000 0.3276
Fe: 0.6141 0.5000 0.1724
Fe: 0.3859 0.5000 0.8276
V: 0.7428 0.0000 0.9923
V: 0.2572 0.0000 0.0077
V: 0.7428 0.5000 0.4923
V: 0.2572 0.5000 0.5077


5.
DFT (PBE) results for a relaxed ZrFeBr2 crystal.

Results
- E_form (uncorrected): 0.6 eV per formula unit
- Energy relative to the lowest polymorph listed for this composition: 587 meV per atom

a b c (Å): 4.5948 3.4319 5.5584
angles (deg): 93.48 90.00 90.00
Sites, in units of the cell vectors:
Br: 0.0000 0.9903 0.0013
Br: 0.0000 0.5097 0.4987
Fe: 0.5000 0.2500 0.2500
Zr: 0.5000 0.7500 0.7500


6.
DFT (PBE) results for a relaxed ReB3Pt crystal.

Results
- Energy relative to the lowest polymorph listed for this composition: 0 meV per atom
- Energy relative to the elements: 130 kJ per mole of atoms

a b c (Å): 4.0764 4.0764 4.0764
angles (deg): 90.00 90.00 90.00
Sites, in units of the cell vectors:
Re: 0.0000 0.0000 0.0000
B: 0.0000 0.5000 0.0000
B: 0.0000 0.0000 0.5000
B: 0.5000 0.0000 0.0000
Pt: 0.5000 0.5000 0.5000


7.
DFT (PBE) results for a relaxed Bi2RuSe crystal.

Results
- E_form (uncorrected): 1.5 eV per formula unit

a b c (Å): 6.4857 6.4857 7.7213
angles (deg): 65.17 65.17 90.00
Sites, in units of the cell vectors:
Ru: 0.0000 0.0000 0.0000
Ru: 0.7500 0.2500 0.5000
Bi: 0.6709 0.1250 0.2500
Bi: 0.0791 0.6250 0.2500
Bi: 0.3750 0.3291 0.7500
Bi: 0.8750 0.9209 0.7500
Se: 0.5000 0.5000 0.0000
Se: 0.2500 0.7500 0.5000


8.
DFT (PBE) results for a relaxed HfOs3Pd crystal.

Results
- Energy relative to the lowest polymorph listed for this composition: 0 meV per atom
- Energy relative to the elements: 204 kJ per mole of atoms

a b c (Å): 4.6698 4.6698 4.6698
angles (deg): 90.00 90.00 90.00
Sites, in units of the cell vectors:
Hf: 0.5000 0.5000 0.5000
Os: 0.0000 0.5000 0.0000
Os: 0.0000 0.0000 0.5000
Os: 0.5000 0.0000 0.0000
Pd: 0.0000 0.0000 0.0000